Here is crystalline Li2AcZn2 at its relaxed geometry from the Alexandria database. Energies are from GGA-PBE.

The structure in POSCAR format:
```
Li2AcZn2
1.0
5.0753 -2.4034 0.0000
5.0753 2.4034 0.0000
-2.2212 0.0000 4.5355
Li Ac Zn
2 1 2
Direct
0.1387 0.1387 0.2198
0.8613 0.8613 0.7802
0.5000 0.5000 0.5000
0.2453 0.2453 0.8214
0.7547 0.7547 0.1786
```

Computed properties:
Calculated formation energy (kcal/mol of atoms): -3.3
Magnetization (μB/atom): 0.0000
E above lowest polymorph (meV/atom): 15
Calculated total energy (eV/atom): -2.24